Computed, not measured: a geometry-optimized Cu2Ag2HgPd5 structure at the PBE-GGA level of DFT.

Lattice parameters (Å, degrees): 4.0702 9.0065 9.0065 90.00 90.00 90.00
Fractional coordinates of all 20 atoms:
Cu (0.0000, 0.1212, 0.6212)
Cu (0.0000, 0.8788, 0.3788)
Cu (0.0000, 0.6212, 0.8788)
Cu (0.0000, 0.3788, 0.1212)
Ag (0.0000, 0.6732, 0.1732)
Ag (0.0000, 0.3268, 0.8268)
Ag (0.0000, 0.1732, 0.3268)
Ag (0.0000, 0.8268, 0.6732)
Hg (0.0000, 0.0000, 0.0000)
Hg (0.0000, 0.5000, 0.5000)
Pd (0.5000, 0.2043, 0.0771)
Pd (0.5000, 0.7957, 0.9229)
Pd (0.5000, 0.0771, 0.7957)
Pd (0.5000, 0.7043, 0.4229)
Pd (0.5000, 0.9229, 0.2043)
Pd (0.5000, 0.2957, 0.5771)
Pd (0.5000, 0.5771, 0.7043)
Pd (0.5000, 0.4229, 0.2957)
Pd (0.5000, 0.5000, 0.0000)
Pd (0.5000, 0.0000, 0.5000)

E_form (eV/atom): 0.005
E (eV/atom): -4.01
Crystal system: tetragonal



Computed, not measured: a geometry-optimized Pr2Si2Ni3 structure at the PBE-GGA level of DFT.

Lattice parameters (Å, degrees): 3.7708 5.7627 6.9314 117.65 90.00 109.10
Fractional coordinates of all 7 atoms:
Pr (0.8679, 0.7358, 0.2421)
Pr (0.1321, 0.2642, 0.7579)
Si (0.8605, 0.7210, 0.7815)
Si (0.1395, 0.2790, 0.2185)
Ni (0.5000, 0.0000, 0.0000)
Ni (0.6548, 0.3096, 0.4220)
Ni (0.3452, 0.6904, 0.5780)

Raw formation energy (eV per formula unit): -4.3
E (eV/atom): -6.00
Crystal system: monoclinic



Computed, not measured: a geometry-optimized RbSiRuO6 structure at the PBE-GGA level of DFT.

Lattice parameters (Å, degrees): 4.9940 4.9940 6.3719 90.00 90.00 60.00
Each line ends with the local moment (μB).
Fractional coordinates of all 9 atoms:
Rb (0.0000, 0.0000, 0.0000)  0.00
Si (0.3333, 0.3333, 0.5000)  0.02
Ru (0.6666, 0.6667, 0.5000)  0.57
O (0.0158, 0.3941, 0.3340)  0.04
O (0.3940, 0.0159, 0.6660)  0.04
O (0.5900, 0.3941, 0.6660)  0.04
O (0.0158, 0.5901, 0.6660)  0.04
O (0.3941, 0.5901, 0.3340)  0.04
O (0.5901, 0.0158, 0.3340)  0.04

Raw formation energy (eV per formula unit): -13.4
E (eV/atom): -6.53
Crystal system: trigonal



Computed, not measured: a geometry-optimized WSe2I structure at the PBE-GGA level of DFT.

Lattice parameters (Å, degrees): 6.6729 11.0526 6.5557 90.00 93.24 90.00
Fractional coordinates of all 16 atoms:
I (0.4374, 0.1749, 0.2165)
I (0.4374, 0.8251, 0.2165)
I (0.4374, 0.6749, 0.7165)
I (0.4374, 0.3251, 0.7165)
Se (0.0051, 0.6827, 0.0459)
Se (0.0051, 0.3173, 0.0459)
Se (0.0051, 0.1827, 0.5459)
Se (0.0051, 0.8173, 0.5459)
Se (0.9466, 0.0000, 0.0274)
Se (0.9466, 0.5000, 0.5274)
Se (0.4563, 0.0000, 0.7586)
Se (0.4563, 0.5000, 0.2586)
W (0.1820, 0.6297, 0.3582)
W (0.1820, 0.3703, 0.3582)
W (0.1820, 0.1297, 0.8582)
W (0.1820, 0.8703, 0.8582)

Energy above the lowest structure with this stoichiometry (eV per atom): 0.058
Raw formation energy (eV per formula unit): -0.9
E (eV/atom): -5.59
Crystal system: monoclinic



Computed, not measured: a geometry-optimized SrTaSi structure at the PBE-GGA level of DFT.

Lattice parameters (Å, degrees): 4.4388 4.4388 4.6378 90.00 90.00 120.00
Each line ends with the local moment (μB).
Fractional coordinates of all 3 atoms:
Si (0.0000, 0.0000, 0.8337)  -0.04
Sr (0.6667, 0.3333, 0.3332)  0.06
Ta (0.3333, 0.6667, 0.8332)  1.07

Raw formation energy (eV per formula unit): 1.1
E (eV/atom): -5.96
Crystal system: hexagonal



Computed, not measured: a geometry-optimized Rb2YTc2 structure at the PBE-GGA level of DFT.

Lattice parameters (Å, degrees): 3.4821 3.4821 14.2831 83.00 83.00 90.00
Each line ends with the local moment (μB).
Fractional coordinates of all 5 atoms:
Y (0.0000, 0.0000, 0.0000)  0.18
Tc (0.7500, 0.2500, 0.5000)  0.01
Tc (0.2500, 0.7500, 0.5000)  0.01
Rb (0.3645, 0.3645, 0.2710)  0.00
Rb (0.6355, 0.6355, 0.7290)  0.00

Energy above the lowest structure with this stoichiometry (eV per atom): 0.000
E_form (eV/atom): 0.919
E (eV/atom): -4.91
Crystal system: tetragonal